Entry 1:
{
  "formula": "SnRhS",
  "functional": "PBE",
  "state": "optimized geometry",
  "lattice": [[6.2791, 0.0000, 0.0000], [0.0000, 6.2473, 0.0000], [-2.3616, 0.0000, 5.8501]],
  "species": ["Sn", "Sn", "Sn", "Sn", "Rh", "Rh", "Rh", "Rh", "S", "S", "S", "S"],
  "frac_coords": [[0.1485, 0.1327, 0.3719], [0.1485, 0.3673, 0.8719], [0.8515, 0.6327, 0.1281], [0.8515, 0.8673, 0.6281], [0.2987, 0.5144, 0.3052], [0.2987, 0.9856, 0.8052], [0.7013, 0.0144, 0.1948], [0.7013, 0.4856, 0.6948], [0.3492, 0.6318, 0.6802], [0.3492, 0.8682, 0.1802], [0.6508, 0.1318, 0.8198], [0.6508, 0.3682, 0.3198]],
  "magnetic_moment_mub_per_atom": 0.00,
  "e_form_raw_mev_per_atom": -537
}

---

Entry 2:
{
  "formula": "SnRh4S2",
  "functional": "PBE",
  "state": "optimized geometry",
  "lattice": [[1.6141, -6.7404, 0.0000], [1.6141, 6.7404, 0.0000], [0.0000, 0.0000, 10.2233]],
  "species": ["Sn", "Sn", "Rh", "Rh", "Rh", "Rh", "Rh", "Rh", "Rh", "Rh", "S", "S", "S", "S"],
  "frac_coords": [[0.1109, 0.8891, 0.7500], [0.8891, 0.1109, 0.2500], [0.0000, 0.0000, 0.0000], [0.0000, 0.0000, 0.5000], [0.2537, 0.7463, 0.1149], [0.2537, 0.7463, 0.3851], [0.4439, 0.5561, 0.7500], [0.5561, 0.4439, 0.2500], [0.7463, 0.2537, 0.6149], [0.7463, 0.2537, 0.8851], [0.3733, 0.6267, 0.5462], [0.3733, 0.6267, 0.9538], [0.6267, 0.3733, 0.0462], [0.6267, 0.3733, 0.4538]],
  "magnetic_moment_mub_per_atom": 0.00,
  "e_form_raw_mev_per_atom": -167
}

---

Entry 3:
{
  "formula": "SnRhS3",
  "functional": "PBE",
  "state": "optimized geometry",
  "lattice": [[6.3880, 0.0000, 0.0000], [0.0000, 3.6742, 0.0000], [-0.2362, 0.0000, 9.0358]],
  "species": ["Sn", "Sn", "Rh", "Rh", "S", "S", "S", "S", "S", "S"],
  "frac_coords": [[0.0856, 0.2500, 0.1943], [0.9144, 0.7500, 0.8057], [0.4175, 0.2500, 0.8331], [0.5825, 0.7500, 0.1669], [0.1106, 0.2500, 0.6732], [0.2937, 0.7500, 0.9861], [0.4505, 0.2500, 0.3083], [0.5495, 0.7500, 0.6917], [0.7063, 0.2500, 0.0139], [0.8894, 0.7500, 0.3268]],
  "magnetic_moment_mub_per_atom": 0.00,
  "e_form_raw_mev_per_atom": -381
}

---

Which E belongs to each record? In order, -5.6978, -6.1193, -5.1282 eV/atom.